Record 1
Density functional theory data (PBE-GGA) for a geometry-optimized CaAcCe structure.

Cell lengths 3.790, 3.790, 9.392 Å; angles 90.00, 90.00, 120.00 degrees
Fractional coordinates of all 3 atoms:
Ca: 0.000 0.000 0.000
Ac: 0.333 0.667 0.646
Ce: 0.667 0.333 0.329

Summary:
Polymorph energy (0 for the lowest one) ... 0 kJ/mol of formula units
Energy of formation from the pure elements ... 3.55 kcal/mol of atoms
Energy ... -3.861 eV per atom

Record 2
Density functional theory data (PBE-GGA) for a geometry-optimized MgHg2Cl structure.

Cell lengths 5.220, 5.220, 5.220 Å; angles 60.00, 60.00, 60.00 degrees
Fractional coordinates of all 4 atoms:
Mg: 0.000 0.000 0.000
Hg: 0.250 0.250 0.250
Hg: 0.500 0.500 0.500
Cl: 0.750 0.750 0.750

Summary:
Polymorph energy (0 for the lowest one) ... 143 kJ/mol of formula units
Uncorrected formation energy ... -0.23 eV per atom
Energy ... -1.245 eV per atom

Record 3
Density functional theory data (PBE-GGA) for a geometry-optimized Nd3Ga6Au5 structure.

Cell lengths 4.487, 13.240, 9.645 Å; angles 90.00, 90.00, 90.00 degrees
Fractional coordinates of all 28 atoms:
Nd: 0.250 0.053 0.249
Nd: 0.250 0.447 0.249
Nd: 0.250 0.750 0.254
Nd: 0.750 0.250 0.746
Nd: 0.750 0.553 0.751
Nd: 0.750 0.947 0.751
Ga: 0.250 0.084 0.887
Ga: 0.250 0.250 0.050
Ga: 0.250 0.250 0.446
Ga: 0.250 0.416 0.887
Ga: 0.250 0.600 0.527
Ga: 0.250 0.900 0.527
Ga: 0.750 0.100 0.473
Ga: 0.750 0.400 0.473
Ga: 0.750 0.584 0.113
Ga: 0.750 0.750 0.554
Ga: 0.750 0.750 0.950
Ga: 0.750 0.916 0.113
Au: 0.250 0.096 0.619
Au: 0.250 0.404 0.619
Au: 0.250 0.615 0.976
Au: 0.250 0.750 0.727
Au: 0.250 0.885 0.976
Au: 0.750 0.115 0.024
Au: 0.750 0.250 0.273
Au: 0.750 0.385 0.024
Au: 0.750 0.596 0.381
Au: 0.750 0.904 0.381

Summary:
Energy of formation from the pure elements ... -14.59 kcal/mol of atoms
Energy ... -4.122 eV per atom

Record 4
Density functional theory data (PBE-GGA) for a geometry-optimized TbTmGaPt structure.

Cell lengths 4.983, 4.983, 4.983 Å; angles 60.00, 60.00, 60.00 degrees
Fractional coordinates of all 4 atoms:
Tb: 0.000 0.000 0.000
Tm: 0.500 0.500 0.500
Ga: 0.250 0.250 0.250
Pt: 0.750 0.750 0.750

Summary:
Polymorph energy (0 for the lowest one) ... 26 kJ/mol of formula units
Energy of formation from the pure elements ... -20.26 kcal/mol of atoms
Energy ... -5.421 eV per atom

Record 5
Density functional theory data (PBE-GGA) for a geometry-optimized SmGa6Ag12 structure.

Cell lengths 7.511, 7.511, 7.511 Å; angles 105.14, 105.14, 105.14 degrees
Fractional coordinates of all 19 atoms:
Sm: 0.000 0.000 0.000
Ga: 0.272 0.272 0.705
Ga: 0.272 0.705 0.272
Ga: 0.295 0.728 0.728
Ga: 0.705 0.272 0.272
Ga: 0.728 0.295 0.728
Ga: 0.728 0.728 0.295
Ag: 0.117 0.500 0.883
Ag: 0.117 0.883 0.500
Ag: 0.147 0.392 0.392
Ag: 0.392 0.147 0.392
Ag: 0.392 0.392 0.147
Ag: 0.500 0.117 0.883
Ag: 0.500 0.883 0.117
Ag: 0.608 0.608 0.853
Ag: 0.608 0.853 0.608
Ag: 0.853 0.608 0.608
Ag: 0.883 0.117 0.500
Ag: 0.883 0.500 0.117

Summary:
Energy of formation from the pure elements ... 0.19 kcal/mol of atoms
Energy ... -2.997 eV per atom

Record 6
Density functional theory data (PBE-GGA) for a geometry-optimized GdInPt structure.

Cell lengths 4.704, 4.704, 3.579 Å; angles 90.00, 90.00, 120.00 degrees
Fractional coordinates of all 3 atoms:
Gd: 0.000 0.000 0.000
In: 0.667 0.333 0.500
Pt: 0.333 0.667 0.500

Summary:
Energy of formation from the pure elements ... -18.85 kcal/mol of atoms
Energy ... -8.437 eV per atom